Entry 1:
## KLa2Br (PBE)

Data for a relaxed KLa2Br crystal.

Results
Space-group type: R-3m, No. 166
ΔE_f (raw): -0.3936 eV/atom
Crystal system: trigonal
DOS at the Fermi energy: 1.534 states/eV/atom
E above lowest polymorph: 0.919 eV/f.u.
E: -3.550 eV/atom
Total magnetic moment: 0.55 Bohr magnetons per cell

Lattice parameters (Å, degrees): 12.565 12.565 12.565 17.46 17.46 17.46
Last column: magnetic moment on the atom in μB.
Fractional positions:
Br (0.250, 0.250, 0.250)  0.00
K (0.750, 0.750, 0.750)  0.01
La (0.980, 0.980, 0.980)  0.09
La (0.520, 0.520, 0.520)  0.09

Entry 2:
## K2LaBr2 (PBE)

Data for a relaxed K2LaBr2 crystal.

Results
Space-group type: P4/mbm, No. 127
ΔE_f (raw): -0.9139 eV/atom
Crystal system: tetragonal
DOS at the Fermi energy: 0.962 states/eV/atom
E above lowest polymorph: 0.000 eV/f.u.
E: -3.008 eV/atom
Total magnetic moment: 4.01 Bohr magnetons per cell

Lattice parameters (Å, degrees): 9.045 9.045 4.264 90.00 90.00 90.00
Last column: magnetic moment on the atom in μB.
Fractional positions:
K (0.143, 0.643, 0.500)  0.03
K (0.643, 0.857, 0.500)  0.03
K (0.857, 0.357, 0.500)  0.03
K (0.357, 0.143, 0.500)  0.03
Br (0.338, 0.838, 0.000)  0.01
Br (0.838, 0.662, 0.000)  0.01
Br (0.662, 0.162, 0.000)  0.01
Br (0.162, 0.338, 0.000)  0.01
La (0.000, 0.000, 0.000)  0.68
La (0.500, 0.500, 0.000)  0.68

Entry 3:
## KLa2Br (PBE)

Data for a relaxed KLa2Br crystal.

Results
Space-group type: I-4m2, No. 119
ΔE_f (raw): 0.0488 eV/atom
Crystal system: tetragonal
DOS at the Fermi energy: 1.426 states/eV/atom
E above lowest polymorph: 2.689 eV/f.u.
E: -3.108 eV/atom
Total magnetic moment: 1.66 Bohr magnetons per cell

Lattice parameters (Å, degrees): 6.900 6.900 6.900 138.08 138.08 60.78
Last column: magnetic moment on the atom in μB.
Fractional positions:
Br (0.500, 0.500, 0.000)  0.02
K (0.750, 0.250, 0.500)  0.01
La (0.000, 0.000, 0.000)  0.36
La (0.250, 0.750, 0.500)  0.32

Entry 4:
## KLa2Br (PBE)

Data for a relaxed KLa2Br crystal.

Results
Space-group type: Pm, No. 6
ΔE_f (raw): -0.3691 eV/atom
Crystal system: monoclinic
DOS at the Fermi energy: 0.494 states/eV/atom
E above lowest polymorph: 1.017 eV/f.u.
E: -3.525 eV/atom
Total magnetic moment: 0.00 Bohr magnetons per cell

Lattice parameters (Å, degrees): 4.820 3.947 8.656 68.24 90.00 90.00
Fractional positions:
Br (0.000, 0.427, 0.487)
K (0.500, 0.704, 0.704)
La (0.000, 0.919, 0.087)
La (0.500, 0.450, 0.222)

Entry 5:
## KLa2Br (PBE)

Data for a relaxed KLa2Br crystal.

Results
Space-group type: Imm2, No. 44
ΔE_f (raw): -0.2154 eV/atom
Crystal system: orthorhombic
DOS at the Fermi energy: 1.399 states/eV/atom
E above lowest polymorph: 1.632 eV/f.u.
E: -3.372 eV/atom
Total magnetic moment: 1.39 Bohr magnetons per cell

Lattice parameters (Å, degrees): 7.274 7.274 7.274 149.94 122.51 66.24
Last column: magnetic moment on the atom in μB.
Fractional positions:
Br (0.515, 0.515, 0.000)  0.01
K (0.293, 0.793, 0.500)  0.01
La (0.974, 0.974, 0.000)  0.32
La (0.718, 0.218, 0.500)  0.22

Entry 6:
## KLa2Br (PBE)

Data for a relaxed KLa2Br crystal.

Results
Space-group type: C2/m, No. 12
ΔE_f (raw): -0.2533 eV/atom
Crystal system: monoclinic
DOS at the Fermi energy: 1.151 states/eV/atom
E above lowest polymorph: 1.480 eV/f.u.
E: -3.410 eV/atom
Total magnetic moment: 0.00 Bohr magnetons per cell

Lattice parameters (Å, degrees): 7.603 7.603 3.719 76.12 76.12 127.05
Fractional positions:
Br (0.500, 0.000, 0.500)
K (0.000, 0.500, 0.500)
La (0.000, 0.000, 0.000)
La (0.500, 0.500, 0.000)

Entry 7:
## KLa2Br (PBE)

Data for a relaxed KLa2Br crystal.

Results
Space-group type: Cmmm, No. 65
ΔE_f (raw): -0.0670 eV/atom
Crystal system: orthorhombic
DOS at the Fermi energy: 1.441 states/eV/atom
E above lowest polymorph: 2.226 eV/f.u.
E: -3.223 eV/atom
Total magnetic moment: 0.03 Bohr magnetons per cell

Lattice parameters (Å, degrees): 7.056 7.056 3.761 90.00 90.00 124.77
Fractional positions:
Br (0.500, 0.000, 0.500)
K (0.000, 0.500, 0.500)
La (0.000, 0.000, 0.000)
La (0.500, 0.500, 0.000)

Entry 8:
## KLa2Br (PBE)

Data for a relaxed KLa2Br crystal.

Results
Space-group type: P4mm, No. 99
ΔE_f (raw): -0.5352 eV/atom
Crystal system: tetragonal
DOS at the Fermi energy: 1.417 states/eV/atom
E above lowest polymorph: 0.353 eV/f.u.
E: -3.692 eV/atom
Total magnetic moment: 0.58 Bohr magnetons per cell

Lattice parameters (Å, degrees): 3.732 3.732 10.808 90.00 90.00 90.00
Last column: magnetic moment on the atom in μB.
Fractional positions:
Br (0.000, 0.000, 0.491)  0.01
K (0.500, 0.500, 0.695)  0.00
La (0.000, 0.000, 0.032)  0.14
La (0.500, 0.500, 0.282)  0.09

Entry 9:
## KLa2Br (PBE)

Data for a relaxed KLa2Br crystal.

Results
Space-group type: P4/mmm, No. 123
ΔE_f (raw): -0.2849 eV/atom
Crystal system: tetragonal
DOS at the Fermi energy: 1.246 states/eV/atom
E above lowest polymorph: 1.354 eV/f.u.
E: -3.441 eV/atom
Total magnetic moment: 0.42 Bohr magnetons per cell

Lattice parameters (Å, degrees): 3.629 3.629 11.478 90.00 90.00 90.00
Last column: magnetic moment on the atom in μB.
Fractional positions:
Br (0.500, 0.500, 0.250)  0.00
K (0.500, 0.500, 0.750)  0.00
La (0.000, 0.000, 0.072)  0.09
La (0.000, 0.000, 0.428)  0.09

Entry 10:
## KLa2Br (PBE)

Data for a relaxed KLa2Br crystal.

Results
Space-group type: I4/mmm, No. 139
ΔE_f (raw): -0.1717 eV/atom
Crystal system: tetragonal
DOS at the Fermi energy: 1.585 states/eV/atom
E above lowest polymorph: 1.807 eV/f.u.
E: -3.328 eV/atom
Total magnetic moment: 0.02 Bohr magnetons per cell

Lattice parameters (Å, degrees): 7.997 7.997 7.997 146.14 146.14 48.64
Fractional positions:
Br (0.250, 0.750, 0.500)
K (0.750, 0.250, 0.500)
La (0.000, 0.000, 0.000)
La (0.500, 0.500, 0.000)

Entry 11:
## KLa2Br (PBE)

Data for a relaxed KLa2Br crystal.

Results
Space-group type: Cmm2, No. 35
ΔE_f (raw): -0.5677 eV/atom
Crystal system: orthorhombic
DOS at the Fermi energy: 0.666 states/eV/atom
E above lowest polymorph: 0.223 eV/f.u.
E: -3.724 eV/atom
Total magnetic moment: 0.00 Bohr magnetons per cell

Lattice parameters (Å, degrees): 3.841 3.841 11.346 90.00 90.00 113.89
Fractional positions:
Br (0.000, 0.000, 0.484)
K (0.500, 0.500, 0.705)
La (0.000, 0.000, 0.034)
La (0.500, 0.500, 0.277)

Entry 12:
## K2LaBr5 (PBE)

Data for a relaxed K2LaBr5 crystal.

Results
Space-group type: Cmcm, No. 63
ΔE_f (raw): -1.8644 eV/atom
Crystal system: orthorhombic
DOS at the Fermi energy: 0.000 states/eV/atom
E above lowest polymorph: 0.334 eV/f.u.
E: -3.800 eV/atom
Total magnetic moment: 0.00 Bohr magnetons per cell

Lattice parameters (Å, degrees): 6.019 8.743 15.394 90.00 90.00 110.13
Fractional positions:
K (0.854, 0.709, 0.436)
K (0.854, 0.709, 0.064)
K (0.146, 0.291, 0.564)
K (0.146, 0.291, 0.936)
La (0.825, 0.650, 0.750)
La (0.175, 0.350, 0.250)
Br (0.954, 0.908, 0.877)
Br (0.954, 0.908, 0.623)
Br (0.289, 0.579, 0.399)
Br (0.289, 0.579, 0.101)
Br (0.709, 0.418, 0.250)
Br (0.291, 0.582, 0.750)
Br (0.711, 0.421, 0.601)
Br (0.711, 0.421, 0.899)
Br (0.046, 0.092, 0.123)
Br (0.046, 0.092, 0.377)

Entry 13:
## KLa2Br (PBE)

Data for a relaxed KLa2Br crystal.

Results
Space-group type: Cm, No. 8
ΔE_f (raw): -0.3077 eV/atom
Crystal system: monoclinic
DOS at the Fermi energy: 1.232 states/eV/atom
E above lowest polymorph: 1.263 eV/f.u.
E: -3.464 eV/atom
Total magnetic moment: 0.64 Bohr magnetons per cell

Lattice parameters (Å, degrees): 6.484 6.484 7.802 73.91 73.91 33.53
Last column: magnetic moment on the atom in μB.
Fractional positions:
Br (0.520, 0.520, 0.447)  0.01
K (0.794, 0.794, 0.703)  0.00
La (0.969, 0.969, 0.134)  0.14
La (0.217, 0.217, 0.217)  0.06

Entry 14:
## KLa2Br (PBE)

Data for a relaxed KLa2Br crystal.

Results
Space-group type: P4/mmm, No. 123
ΔE_f (raw): -0.1636 eV/atom
Crystal system: tetragonal
DOS at the Fermi energy: 1.576 states/eV/atom
E above lowest polymorph: 1.839 eV/f.u.
E: -3.320 eV/atom
Total magnetic moment: 0.00 Bohr magnetons per cell

Lattice parameters (Å, degrees): 7.319 4.666 4.666 90.00 90.00 90.00
Fractional positions:
Br (0.500, 0.500, 0.000)
K (0.500, 0.000, 0.500)
La (0.000, 0.000, 0.000)
La (0.000, 0.500, 0.500)